# K2LaMo

Crystalline K2LaMo at its relaxed geometry (PBE, Alexandria via LeMat-Bulk).

The value obtained for the formation energy from the elements is 131.7 kJ per mole of atoms. Its volume is 39.03 Å³ per atom.

It has space group P4/mmm (No. 123), with a = 5.0578 Å, b = 5.0578 Å, c = 6.1025 Å, α = 90.00°, β = 90.00° and γ = 90.00°. The distinct sites, in fractional coordinates, are K at (0.0000, 0.0000, 0.2355), La at (0.5000, 0.5000, 0.5000) and Mo at (0.5000, 0.5000, 0.0000).